MoPbI2O | PBE+U | relaxed

```
MoPbI2O
1.0
6.012 0.000 0.000
0.000 6.012 0.000
0.000 0.000 4.135
Mo Pb I O
1 1 2 1
Cartesian
0.000 0.000 0.000
3.006 3.006 2.068
0.000 3.006 2.068
3.006 0.000 2.068
3.006 3.006 0.000
```

Calculated values
The calculated density is 6.4 g/cm³. As for the space-group type: No. 123. Its relative energy among the computed polymorphs is 584.0 meV per atom. Its spin magnetization is 4.95 Bohr magnetons per cell. The value obtained for the density of states at the Fermi level is 0.95 states/eV/f.u.